(1)
# TlIn2Ag

An optimized crystal structure of TlIn2Ag (GGA-PBE, Alexandria via LeMat-Bulk).

Lattice parameters (Å, degrees): 17.303 8.055 5.948 90.00 90.00 90.00
Fractional positions:
Tl  0.111  0.250  0.221
Tl  0.144  0.750  0.452
Tl  0.356  0.250  0.952
Tl  0.389  0.750  0.721
Tl  0.611  0.250  0.279
Tl  0.644  0.750  0.048
Tl  0.856  0.250  0.548
Tl  0.889  0.750  0.779
In  0.033  0.050  0.734
In  0.033  0.450  0.734
In  0.214  0.550  0.937
In  0.214  0.950  0.937
In  0.286  0.050  0.437
In  0.286  0.450  0.437
In  0.467  0.550  0.234
In  0.467  0.950  0.234
In  0.533  0.050  0.766
In  0.533  0.450  0.766
In  0.714  0.550  0.563
In  0.714  0.950  0.563
In  0.786  0.050  0.063
In  0.786  0.450  0.063
In  0.967  0.550  0.266
In  0.967  0.950  0.266
Ag  0.071  0.750  0.980
Ag  0.175  0.250  0.694
Ag  0.325  0.750  0.194
Ag  0.429  0.250  0.480
Ag  0.571  0.750  0.520
Ag  0.675  0.250  0.806
Ag  0.825  0.750  0.306
Ag  0.929  0.250  0.020

Results
ΔH_f (0 K)   0.02 eV/atom



(2)
# TlIn2Ag

An optimized crystal structure of TlIn2Ag (GGA-PBE, Alexandria via LeMat-Bulk).

Lattice parameters (Å, degrees): 5.764 5.764 3.213 91.94 91.94 108.87
Fractional positions:
Tl  0.000  0.000  0.000
In  0.000  0.500  0.500
In  0.500  0.000  0.500
Ag  0.500  0.500  0.000

Results
ΔH_f (0 K)   0.09 eV/atom



(3)
# TlIn2Ag

An optimized crystal structure of TlIn2Ag (GGA-PBE, Alexandria via LeMat-Bulk).

Lattice parameters (Å, degrees): 10.093 10.093 10.093 19.56 19.56 19.56
Fractional positions:
Tl  0.000  0.000  0.000
In  0.241  0.241  0.241
In  0.759  0.759  0.759
Ag  0.500  0.500  0.500

Results
ΔH_f (0 K)   0.05 eV/atom



(4)
# Tl12In6Ag

An optimized crystal structure of Tl12In6Ag (GGA-PBE, Alexandria via LeMat-Bulk).

Lattice parameters (Å, degrees): 8.512 8.512 8.512 102.40 102.40 102.40
Fractional positions:
Tl  0.002  0.261  0.741
Tl  0.192  0.569  0.573
Tl  0.259  0.998  0.739
Tl  0.261  0.741  0.002
Tl  0.427  0.808  0.431
Tl  0.431  0.427  0.808
Tl  0.569  0.573  0.192
Tl  0.573  0.192  0.569
Tl  0.739  0.259  0.998
Tl  0.741  0.002  0.261
Tl  0.808  0.431  0.427
Tl  0.998  0.739  0.259
In  0.150  0.395  0.154
In  0.154  0.150  0.395
In  0.395  0.154  0.150
In  0.605  0.846  0.850
In  0.846  0.850  0.605
In  0.850  0.605  0.846
Ag  0.000  0.000  0.000

Results
ΔH_f (0 K)   0.07 eV/atom



(5)
# Tl2In2Ag

An optimized crystal structure of Tl2In2Ag (GGA-PBE, Alexandria via LeMat-Bulk).

Lattice parameters (Å, degrees): 7.674 7.674 4.780 90.00 90.00 90.00
Fractional positions:
Tl  0.152  0.348  0.000
Tl  0.348  0.848  0.000
Tl  0.652  0.152  0.000
Tl  0.848  0.652  0.000
In  0.158  0.658  0.500
In  0.342  0.158  0.500
In  0.658  0.842  0.500
In  0.842  0.342  0.500
Ag  0.000  0.000  0.000
Ag  0.500  0.500  0.000

Results
ΔH_f (0 K)   0.17 eV/atom



(6)
# Tl12In3Ag

An optimized crystal structure of Tl12In3Ag (GGA-PBE, Alexandria via LeMat-Bulk).

Lattice parameters (Å, degrees): 5.518 5.518 15.413 90.00 90.00 90.00
Fractional positions:
Tl  0.000  0.000  0.000
Tl  0.000  0.000  0.246
Tl  0.000  0.000  0.500
Tl  0.000  0.000  0.754
Tl  0.000  0.500  0.118
Tl  0.000  0.500  0.371
Tl  0.000  0.500  0.629
Tl  0.000  0.500  0.882
Tl  0.500  0.000  0.118
Tl  0.500  0.000  0.371
Tl  0.500  0.000  0.629
Tl  0.500  0.000  0.882
In  0.500  0.500  0.245
In  0.500  0.500  0.500
In  0.500  0.500  0.755
Ag  0.500  0.500  0.000

Results
ΔH_f (0 K)   0.05 eV/atom



(7)
# TlIn3Ag2

An optimized crystal structure of TlIn3Ag2 (GGA-PBE, Alexandria via LeMat-Bulk).

Lattice parameters (Å, degrees): 6.995 6.995 5.858 90.00 90.00 88.95
Fractional positions:
Tl  0.097  0.903  0.750
Tl  0.903  0.097  0.250
In  0.091  0.598  0.250
In  0.402  0.909  0.250
In  0.413  0.587  0.750
In  0.587  0.413  0.250
In  0.598  0.091  0.750
In  0.909  0.402  0.750
Ag  0.260  0.260  0.000
Ag  0.260  0.260  0.500
Ag  0.740  0.740  0.000
Ag  0.740  0.740  0.500

Results
ΔH_f (0 K)   0.01 eV/atom



(8)
# TlIn2Ag

An optimized crystal structure of TlIn2Ag (GGA-PBE, Alexandria via LeMat-Bulk).

Lattice parameters (Å, degrees): 4.713 4.713 4.538 90.00 90.00 90.00
Fractional positions:
Tl  0.000  0.000  0.000
In  0.000  0.500  0.500
In  0.500  0.000  0.500
Ag  0.500  0.500  0.000

Results
ΔH_f (0 K)   0.08 eV/atom